No. 1
Compound: ScAlAgPb
Source: Alexandria via LeMat-Bulk
Functional: PBE-GGA
Structure: relaxed Values from VASP.

Structure (Quantum ESPRESSO input):
```
&SYSTEM
  ibrav = 0, nat = 4, ntyp = 4
/
ATOMIC_SPECIES
Pb 207.20 Pb.upf
Sc 44.96 Sc.upf
Al 26.98 Al.upf
Ag 107.87 Ag.upf
CELL_PARAMETERS angstrom
4.499 0.000 0.000
0.000 3.188 0.000
0.000 0.000 6.151
ATOMIC_POSITIONS angstrom
Pb 0.000 1.594 5.732
Sc 2.249 0.000 1.202
Al 0.000 1.594 2.546
Ag 2.249 1.594 3.880
```

## Properties
E_tot   -0.3162 Ry/atom
Energy relative to the elements   -0.14 eV per atom
ΔE to the lowest computed polymorph   5.7 kJ per mole of atoms
Volume   88.2 Å³/cell
ρ   7.285 Mg/m³

No. 2
Compound: FeRe2Ru
Source: Alexandria via LeMat-Bulk
Functional: PBE-GGA
Structure: relaxed Values from VASP.

Structure (Quantum ESPRESSO input):
```
&SYSTEM
  ibrav = 0, nat = 4, ntyp = 3
/
ATOMIC_SPECIES
Fe 55.84 Fe.upf
Re 186.21 Re.upf
Ru 101.07 Ru.upf
CELL_PARAMETERS angstrom
-1.832 -0.546 1.914
1.807 -1.547 1.288
2.317 5.968 3.921
ATOMIC_POSITIONS angstrom
Fe 1.733 3.450 4.555
Re 0.591 0.506 2.621
Re 2.263 5.830 3.830
Ru 1.181 3.041 1.998
```

## Properties
E_tot   -0.7757 Ry/atom
Energy relative to the elements   0.10 eV per atom
ΔE to the lowest computed polymorph   11.5 kJ per mole of atoms
Volume   54.9 Å³/cell
ρ   16.003 Mg/m³

No. 3
Compound: CrInAs2
Source: Alexandria via LeMat-Bulk
Functional: PBE-GGA
Structure: relaxed Values from VASP.

Structure (Quantum ESPRESSO input):
```
&SYSTEM
  ibrav = 0, nat = 4, ntyp = 3
/
ATOMIC_SPECIES
Cr 52.00 Cr.upf
As 74.92 As.upf
In 114.82 In.upf
CELL_PARAMETERS angstrom
3.219 0.000 0.000
1.609 2.787 0.000
1.609 0.929 8.560
ATOMIC_POSITIONS angstrom
Cr 3.219 1.858 0.004
As 1.609 0.929 6.959
In 3.219 1.858 4.273
As 1.609 0.929 1.605
```

## Properties
E_tot   -0.3958 Ry/atom
Energy relative to the elements   0.03 eV per atom
Volume   76.8 Å³/cell
ρ   6.847 Mg/m³

Please write out number 2 again, unchanged.
Compound: FeRe2Ru
Source: Alexandria via LeMat-Bulk
Functional: PBE-GGA
Structure: relaxed Values from VASP.

Structure (Quantum ESPRESSO input):
```
&SYSTEM
  ibrav = 0, nat = 4, ntyp = 3
/
ATOMIC_SPECIES
Fe 55.84 Fe.upf
Re 186.21 Re.upf
Ru 101.07 Ru.upf
CELL_PARAMETERS angstrom
-1.832 -0.546 1.914
1.807 -1.547 1.288
2.317 5.968 3.921
ATOMIC_POSITIONS angstrom
Fe 1.733 3.450 4.555
Re 0.591 0.506 2.621
Re 2.263 5.830 3.830
Ru 1.181 3.041 1.998
```

## Properties
E_tot   -0.7757 Ry/atom
Energy relative to the elements   0.10 eV per atom
ΔE to the lowest computed polymorph   11.5 kJ per mole of atoms
Volume   54.9 Å³/cell
ρ   16.003 Mg/m³